No. 1
A geometry-optimized Ac2La2Pt3 structure. Source: the Alexandria database, functional GGA-PBE.

Summary:
ΔH_f (0 K) (eV per atom): -1.043
Total DFT energy (no corrections) (eV per atom): -6.213

a = 4.346 Å, b = 7.380 Å, c = 7.571 Å
α = 80.89°, β = 89.96°, γ = 72.90°
Fractional positions:
Ac 0.132 0.236 0.367
Ac 0.868 0.764 0.633
La 0.371 0.757 0.102
La 0.629 0.243 0.898
Pt 0.000 0.500 0.000
Pt 0.242 0.015 0.750
Pt 0.758 0.985 0.250

***

No. 2
A geometry-optimized AcLa2Pt9 structure. Source: the Alexandria database, functional GGA-PBE.

Summary:
ΔH_f (0 K) (eV per atom): -0.963
Total DFT energy (no corrections) (eV per atom): -6.657

a = 9.554 Å, b = 9.554 Å, c = 9.554 Å
α = 33.67°, β = 33.67°, γ = 33.67°
Fractional positions:
Ac 0.000 0.000 0.000
La 0.140 0.140 0.140
La 0.860 0.860 0.860
Pt 0.081 0.586 0.586
Pt 0.332 0.332 0.332
Pt 0.414 0.414 0.919
Pt 0.414 0.919 0.414
Pt 0.500 0.500 0.500
Pt 0.586 0.081 0.586
Pt 0.586 0.586 0.081
Pt 0.668 0.668 0.668
Pt 0.919 0.414 0.414

***

No. 3
A geometry-optimized AcLaPt2 structure. Source: the Alexandria database, functional GGA-PBE.

Summary:
ΔH_f (0 K) (eV per atom): -1.038
Total DFT energy (no corrections) (eV per atom): -6.317
Energy above the most stable polymorph in this dataset (eV/f.u.): 0.56

a = 5.265 Å, b = 5.265 Å, c = 5.265 Å
α = 60.00°, β = 60.00°, γ = 60.00°
Fractional positions:
Ac 0.000 0.000 0.000
La 0.500 0.500 0.500
Pt 0.250 0.250 0.250
Pt 0.750 0.750 0.750

***

- Which of these has the highest ΔH_f (0 K)?
  AcLa2Pt9

***

- Among the records above, which one has the highest total DFT energy (no corrections)?
  Ac2La2Pt3

***

- Look up the ΔH_f (0 K) of the third one.
  -1.038 eV per atom

***

What did the first record say?
A geometry-optimized Ac2La2Pt3 structure. Source: the Alexandria database, functional GGA-PBE.

Summary:
ΔH_f (0 K) (eV per atom): -1.043
Total DFT energy (no corrections) (eV per atom): -6.213

a = 4.346 Å, b = 7.380 Å, c = 7.571 Å
α = 80.89°, β = 89.96°, γ = 72.90°
Fractional positions:
Ac 0.132 0.236 0.367
Ac 0.868 0.764 0.633
La 0.371 0.757 0.102
La 0.629 0.243 0.898
Pt 0.000 0.500 0.000
Pt 0.242 0.015 0.750
Pt 0.758 0.985 0.250